Material: BeZnSO
Method: DFT, GGA-PBE
State: relaxed

Properties
E = -4.42 eV per atom
relative energy among the computed polymorphs = 612 meV/atom

abc: 3.154 3.154 11.177
angles: 90.00 90.00 90.00
Element x y z (fractional)
Be  0.750  0.250  0.000
Be  0.250  0.750  0.000
O  0.250  0.250  0.404
O  0.750  0.750  0.596
S  0.250  0.250  0.117
S  0.750  0.750  0.883
Zn  0.750  0.750  0.411
Zn  0.250  0.250  0.589

---

Material: TaPPdO
Method: DFT, GGA-PBE
State: relaxed

Properties
E = -7.47 eV per atom
relative energy among the computed polymorphs = 351 meV/atom

abc: 4.901 4.901 4.575
angles: 90.00 90.00 90.00
Element x y z (fractional)
O  0.000  0.000  0.000
O  0.500  0.500  0.000
P  0.500  0.000  0.360
P  0.000  0.500  0.640
Pd  0.000  0.500  0.144
Pd  0.500  0.000  0.856
Ta  0.000  0.000  0.500
Ta  0.500  0.500  0.500

---

Material: MgNbNiBi
Method: DFT, GGA-PBE
State: relaxed

Properties
E = -4.91 eV per atom
relative energy among the computed polymorphs = 0 meV/atom

abc: 4.740 4.740 4.740
angles: 60.00 60.00 60.00
Element x y z (fractional)
Bi  0.000  0.000  0.000
Mg  0.500  0.500  0.500
Nb  0.250  0.250  0.250
Ni  0.750  0.750  0.750

---

Material: SmHf2Ir2
Method: DFT, GGA-PBE
State: relaxed

Properties
E = -9.30 eV per atom
E_form = -400 kJ/mol of formula units

abc: 6.357 6.357 6.357
angles: 138.82 138.82 59.66
Element x y z (fractional)
Hf  0.750  0.250  0.500
Hf  0.250  0.750  0.500
Ir  0.383  0.383  0.000
Ir  0.617  0.617  0.000
Sm  0.000  0.000  0.000

---

Material: DyIrNO
Method: DFT, GGA-PBE
State: relaxed

Properties
E = -7.47 eV per atom
relative energy among the computed polymorphs = 753 meV/atom

abc: 4.901 4.901 4.294
angles: 90.00 90.00 90.00
Element x y z (fractional)
Dy  0.000  0.000  0.500
Dy  0.500  0.500  0.500
Ir  0.000  0.500  0.004
Ir  0.500  0.000  0.996
N  0.500  0.000  0.496
N  0.000  0.500  0.504
O  0.000  0.000  0.000
O  0.500  0.500  0.000

---

Material: K2PuSeS2
Method: DFT, GGA-PBE
State: relaxed

Properties
E = -6.02 eV per atom

abc: 6.015 7.357 9.087
angles: 107.99 90.06 114.06
Each line ends with the local moment (μB).
Element x y z (fractional)
K  0.162  0.826  0.081  0.00
K  0.489  0.466  0.228  0.00
K  0.511  0.534  0.772  0.00
K  0.838  0.174  0.919  0.00
Pu  0.833  0.154  0.420  4.64
Pu  0.167  0.846  0.580  4.65
S  0.693  0.889  0.141  -0.15
S  0.309  0.134  0.438  -0.15
S  0.691  0.866  0.562  -0.15
S  0.307  0.111  0.859  -0.15
Se  0.002  0.493  0.300  -0.18
Se  0.998  0.507  0.700  -0.18

---

Material: SrScFe2
Method: DFT, GGA-PBE
State: relaxed

Properties
E = -5.46 eV per atom

abc: 4.761 4.761 4.761
angles: 60.00 60.00 60.00
Each line ends with the local moment (μB).
Element x y z (fractional)
Fe  0.000  0.000  0.000  2.42
Fe  0.250  0.250  0.250  2.58
Sc  0.750  0.750  0.750  -0.56
Sr  0.500  0.500  0.500  -0.12

---

Material: TaFeCuSb
Method: DFT, GGA-PBE
State: relaxed

Properties
E = -6.79 eV per atom
relative energy among the computed polymorphs = 0 meV/atom

abc: 4.413 4.413 4.413
angles: 60.00 60.00 60.00
Element x y z (fractional)
Cu  0.750  0.750  0.750
Fe  0.250  0.250  0.250
Sb  0.000  0.000  0.000
Ta  0.500  0.500  0.500

---

Material: Ho2AlSiOs
Method: DFT, GGA-PBE
State: relaxed

Properties
E = -6.42 eV per atom

abc: 5.570 5.570 5.570
angles: 136.46 77.25 119.73
Element x y z (fractional)
Al  0.994  0.994  0.000
Ho  0.705  0.504  0.201
Ho  0.303  0.504  0.799
Os  0.725  0.225  0.500
Si  0.273  0.773  0.500

---

Material: DyCu3P2
Method: DFT, GGA-PBE
State: relaxed

Properties
E = -4.99 eV per atom

abc: 3.978 3.978 6.522
angles: 90.00 90.00 120.00
Element x y z (fractional)
Cu  0.667  0.333  0.338
Cu  0.000  0.000  0.500
Cu  0.333  0.667  0.662
Dy  0.000  0.000  0.000
P  0.333  0.667  0.256
P  0.667  0.333  0.744

---

Material: ZnIrCl6
Method: DFT, GGA-PBE
State: relaxed

Properties
E = -3.32 eV per atom

abc: 6.105 6.105 6.159
angles: 99.41 99.41 119.97
Each line ends with the local moment (μB).
Element x y z (fractional)
Cl  0.592  0.934  0.229  0.06
Cl  0.918  0.559  0.231  0.05
Cl  0.217  0.233  0.232  0.05
Cl  0.767  0.783  0.768  0.05
Cl  0.441  0.082  0.769  0.05
Cl  0.066  0.408  0.771  0.06
Ir  0.833  0.167  0.000  0.55
Zn  0.166  0.834  0.000  0.01

---

Material: Hf3SN2
Method: DFT, GGA-PBE
State: relaxed

Properties
E = -10.04 eV per atom

abc: 3.220 3.220 17.675
angles: 90.00 90.00 120.00
Element x y z (fractional)
Hf  0.000  0.000  0.000
Hf  0.667  0.333  0.148
Hf  0.667  0.333  0.352
Hf  0.000  0.000  0.500
Hf  0.333  0.667  0.648
Hf  0.333  0.667  0.852
N  0.333  0.667  0.072
N  0.333  0.667  0.428
N  0.667  0.333  0.572
N  0.667  0.333  0.928
S  0.000  0.000  0.250
S  0.000  0.000  0.750

---

What is the E in the eighth record? -6.79 eV per atom